MgMo2O4: relaxed, PBE+U.

Cell and atoms, written as CIF:
```
data_MgMo2O4
_chemical_formula_sum 'Mg4 Mo8 O16'
_space_group_name_H-M_alt 'P 1'
_space_group_IT_number 1
_space_group_name_Hall 'P 1'
_cell_length_a 3.1393
_cell_length_b 9.6140
_cell_length_c 11.0326
_cell_angle_alpha 90.00
_cell_angle_beta 90.00
_cell_angle_gamma 90.00
loop_
_atom_site_label
_atom_site_fract_x
_atom_site_fract_y
_atom_site_fract_z
Mg1 0.7500 0.2459 0.3431
Mg2 0.2500 0.7541 0.6569
Mg3 0.7500 0.7459 0.1569
Mg4 0.2500 0.2541 0.8431
Mo1 0.2500 0.3970 0.0985
Mo2 0.7500 0.1030 0.5985
Mo3 0.2500 0.8970 0.4015
Mo4 0.7500 0.6030 0.9015
Mo5 0.7500 0.5483 0.3776
Mo6 0.2500 0.4517 0.6224
Mo7 0.7500 0.0483 0.1224
Mo8 0.2500 0.9517 0.8776
O1 0.2500 0.8990 0.0706
O2 0.7500 0.1010 0.9294
O3 0.2500 0.3990 0.4294
O4 0.7500 0.6010 0.5706
O5 0.2500 0.0776 0.7219
O6 0.7500 0.9224 0.2781
O7 0.2500 0.5776 0.7781
O8 0.7500 0.4224 0.2219
O9 0.2500 0.6181 0.0466
O10 0.7500 0.3819 0.9534
O11 0.2500 0.1181 0.4534
O12 0.7500 0.8819 0.5466
O13 0.7500 0.8118 0.8141
O14 0.2500 0.1882 0.1859
O15 0.2500 0.6882 0.3141
O16 0.7500 0.3118 0.6859
```

Values from the calculation:
The value obtained for the total energy is -192.506 eV per cell. The size of the total moment is 24.000 Bohr magnetons per cell. As for the space group: Pnma.